Record 1
# PBE-GGA CsPaSn, optimized geometry
# crystal system: cubic
# E above lowest polymorph: 427 meV per atom
# total magnetization: 2.0 μB/f.u.
# raw total energy: -3.395 eV per atom
data_CsPaSn
_chemical_formula_sum 'Cs4 Pa4 Sn4'
_space_group_name_H-M_alt 'F -4 3 m'
_space_group_IT_number 216
_space_group_name_Hall 'F -4 2 3'
_cell_length_a 7.545
_cell_length_b 7.545
_cell_length_c 7.545
_cell_angle_alpha 90.00
_cell_angle_beta 90.00
_cell_angle_gamma 90.00
loop_
_atom_site_label
_atom_site_fract_x
_atom_site_fract_y
_atom_site_fract_z
_atom_site_occupancy
Cs1 0.000 0.000 0.000 1
Pa1 0.250 0.250 0.750 1
Sn1 0.250 0.250 0.250 1

=====

Record 2
# PBE-GGA CsPaTa, optimized geometry
# crystal system: cubic
# total magnetization: 0.6 μB/f.u.
# raw total energy: -5.113 eV per atom
data_CsPaTa
_chemical_formula_sum 'Cs4 Pa4 Ta4'
_space_group_name_H-M_alt 'F -4 3 m'
_space_group_IT_number 216
_space_group_name_Hall 'F -4 2 3'
_cell_length_a 7.183
_cell_length_b 7.183
_cell_length_c 7.183
_cell_angle_alpha 90.00
_cell_angle_beta 90.00
_cell_angle_gamma 90.00
loop_
_atom_site_label
_atom_site_fract_x
_atom_site_fract_y
_atom_site_fract_z
_atom_site_occupancy
Cs1 0.000 0.000 0.000 1
Pa1 0.250 0.250 0.250 1
Ta1 0.000 0.000 0.500 1

=====

Record 3
# PBE-GGA CsPaTc, optimized geometry
# crystal system: cubic
# E above lowest polymorph: 0 meV per atom
# total magnetization: 0.2 μB/f.u.
# raw total energy: -5.129 eV per atom
data_CsPaTc
_chemical_formula_sum 'Cs4 Pa4 Tc4'
_space_group_name_H-M_alt 'F -4 3 m'
_space_group_IT_number 216
_space_group_name_Hall 'F -4 2 3'
_cell_length_a 6.919
_cell_length_b 6.919
_cell_length_c 6.919
_cell_angle_alpha 90.00
_cell_angle_beta 90.00
_cell_angle_gamma 90.00
loop_
_atom_site_label
_atom_site_fract_x
_atom_site_fract_y
_atom_site_fract_z
_atom_site_occupancy
Cs1 0.000 0.000 0.000 1
Pa1 0.250 0.250 0.250 1
Tc1 0.000 0.000 0.500 1

=====

Record 4
# PBE-GGA CsPaTc, optimized geometry
# crystal system: cubic
# E above lowest polymorph: 461 meV per atom
# total magnetization: 0.0 μB/f.u.
# raw total energy: -4.668 eV per atom
data_CsPaTc
_chemical_formula_sum 'Cs4 Pa4 Tc4'
_space_group_name_H-M_alt 'F -4 3 m'
_space_group_IT_number 216
_space_group_name_Hall 'F -4 2 3'
_cell_length_a 6.782
_cell_length_b 6.782
_cell_length_c 6.782
_cell_angle_alpha 90.00
_cell_angle_beta 90.00
_cell_angle_gamma 90.00
loop_
_atom_site_label
_atom_site_fract_x
_atom_site_fract_y
_atom_site_fract_z
_atom_site_occupancy
Cs1 0.000 0.000 0.000 1
Pa1 0.250 0.250 0.750 1
Tc1 0.250 0.250 0.250 1